Density functional theory data (PBE with a Hubbard U) for a geometry-optimized NaCr2F8 structure.

Properties
Its density is 3.9 g/cm3. The calculation puts the total energy at -5.141 eV/atom. As for the energy above the most stable polymorph in this dataset: 0.146 eV/atom. Its space-group type is C2/m, No. 12. The value obtained for the density of states at the Fermi level is 2.4 states/eV/f.u.

abc: 5.704 5.704 4.036
angles: 93.20 93.20 114.69
Fractional coordinates of all 11 atoms:
1 Na 0.000 0.000 0.000
2 Cr 0.329 0.671 0.500
3 Cr 0.671 0.329 0.500
4 F 0.049 0.337 0.591
5 F 0.273 0.727 0.000
6 F 0.337 0.049 0.591
7 F 0.399 0.399 0.243
8 F 0.601 0.601 0.757
9 F 0.663 0.951 0.409
10 F 0.727 0.273 0.000
11 F 0.951 0.663 0.409

---

Density functional theory data (PBE with a Hubbard U) for a geometry-optimized Na2Cr3F8 structure.

Properties
Its density is 3.0 g/cm3. The calculation puts the total energy at -5.688 eV/atom. Its space-group type is P-1, No. 2. The value obtained for the density of states at the Fermi level is 0.0 states/eV/f.u.

abc: 5.456 6.415 6.730
angles: 117.59 94.20 105.89
Fractional coordinates of all 13 atoms:
1 Na 0.141 0.432 0.215
2 Na 0.859 0.568 0.785
3 Cr 0.000 0.000 0.500
4 Cr 0.499 0.990 0.234
5 Cr 0.501 0.010 0.766
6 F 0.111 0.778 0.607
7 F 0.123 0.768 0.155
8 F 0.394 0.207 0.626
9 F 0.407 0.204 0.122
10 F 0.593 0.796 0.878
11 F 0.606 0.793 0.374
12 F 0.877 0.232 0.845
13 F 0.889 0.222 0.393

---

Density functional theory data (PBE with a Hubbard U) for a geometry-optimized Na2CrF2 structure.

Properties
Its density is 2.2 g/cm3. The calculation puts the total energy at -4.294 eV/atom. As for the energy above the most stable polymorph in this dataset: 0.000 eV/atom. Its space-group type is I4/mmm, No. 139. The value obtained for the density of states at the Fermi level is 0.7 states/eV/f.u.

abc: 6.387 6.387 6.387
angles: 140.70 140.70 56.79
Fractional coordinates of all 5 atoms:
1 Na 0.198 0.198 0.000
2 Na 0.802 0.802 0.000
3 Cr 0.500 0.500 0.000
4 F 0.250 0.750 0.500
5 F 0.750 0.250 0.500

---

Density functional theory data (PBE with a Hubbard U) for a geometry-optimized NaCrF2 structure.

Properties
Its density is 3.0 g/cm3. The calculation puts the total energy at -5.264 eV/atom. As for the energy above the most stable polymorph in this dataset: 0.000 eV/atom. Its space-group type is R-3m, No. 166. The value obtained for the density of states at the Fermi level is 0.5 states/eV/f.u.

abc: 6.726 6.726 6.726
angles: 28.77 28.77 28.77
Fractional coordinates of all 4 atoms:
1 Na 0.000 0.000 0.000
2 Cr 0.500 0.500 0.500
3 F 0.398 0.398 0.398
4 F 0.602 0.602 0.602

---

Density functional theory data (PBE with a Hubbard U) for a geometry-optimized Na3CrF6 structure.

Properties
Its density is 2.9 g/cm3. The calculation puts the total energy at -5.077 eV/atom. As for the energy above the most stable polymorph in this dataset: 0.011 eV/atom. Its space-group type is C2/m, No. 12. The value obtained for the density of states at the Fermi level is 0.0 states/eV/f.u.

abc: 5.708 5.708 5.628
angles: 118.84 118.84 61.04
Fractional coordinates of all 10 atoms:
1 Na 0.000 0.000 0.000
2 Na 0.247 0.247 0.713
3 Na 0.753 0.753 0.287
4 Cr 0.500 0.500 0.500
5 F 0.193 0.664 0.655
6 F 0.280 0.280 0.147
7 F 0.336 0.807 0.345
8 F 0.664 0.193 0.655
9 F 0.720 0.720 0.853
10 F 0.807 0.336 0.345

---

Density functional theory data (PBE with a Hubbard U) for a geometry-optimized Na3Cr4F12 structure.

Properties
Its density is 3.2 g/cm3. The calculation puts the total energy at -5.649 eV/atom. Its space-group type is P-1, No. 2. The value obtained for the density of states at the Fermi level is 0.0 states/eV/f.u.

abc: 6.949 6.954 6.960
angles: 109.09 109.18 109.20
Fractional coordinates of all 19 atoms:
1 Na 0.000 0.000 0.000
2 Na 0.000 0.500 0.500
3 Na 0.500 0.000 0.500
4 Cr 0.000 0.000 0.500
5 Cr 0.000 0.500 0.000
6 Cr 0.500 0.000 0.000
7 Cr 0.500 0.500 0.500
8 F 0.003 0.719 0.321
9 F 0.179 0.998 0.782
10 F 0.202 0.413 0.222
11 F 0.278 0.798 0.087
12 F 0.284 0.181 0.501
13 F 0.413 0.722 0.703
14 F 0.587 0.278 0.297
15 F 0.716 0.819 0.499
16 F 0.722 0.202 0.913
17 F 0.798 0.587 0.778
18 F 0.821 0.002 0.218
19 F 0.997 0.281 0.679

---

Density functional theory data (PBE with a Hubbard U) for a geometry-optimized NaCr2F8 structure.

Properties
Its density is 3.0 g/cm3. The calculation puts the total energy at -5.287 eV/atom. As for the energy above the most stable polymorph in this dataset: 0.000 eV/atom. Its space-group type is P-1, No. 2. The value obtained for the density of states at the Fermi level is 6.0 states/eV/f.u.

abc: 4.000 6.364 6.373
angles: 69.95 89.82 89.97
Fractional coordinates of all 11 atoms:
1 Na 0.000 0.000 0.000
2 Cr 0.250 0.377 0.376
3 Cr 0.750 0.623 0.624
4 F 0.249 0.147 0.645
5 F 0.250 0.585 0.586
6 F 0.251 0.646 0.148
7 F 0.252 0.206 0.204
8 F 0.748 0.794 0.796
9 F 0.749 0.354 0.852
10 F 0.750 0.415 0.414
11 F 0.751 0.853 0.355

---

Density functional theory data (PBE with a Hubbard U) for a geometry-optimized Na2CrF8 structure.

Properties
Its density is 2.7 g/cm3. The calculation puts the total energy at -4.401 eV/atom. Its space-group type is C2/m, No. 12.

abc: 6.086 6.086 4.754
angles: 108.63 108.63 73.40
Fractional coordinates of all 11 atoms:
1 Na 0.167 0.167 0.335
2 Na 0.833 0.833 0.665
3 Cr 0.500 0.500 0.000
4 F 0.078 0.078 0.718
5 F 0.206 0.556 0.747
6 F 0.383 0.383 0.204
7 F 0.444 0.794 0.253
8 F 0.556 0.206 0.747
9 F 0.617 0.617 0.796
10 F 0.794 0.444 0.253
11 F 0.922 0.922 0.282

---

Repeat the third record exactly.
Density functional theory data (PBE with a Hubbard U) for a geometry-optimized Na2CrF2 structure.

Properties
Its density is 2.2 g/cm3. The calculation puts the total energy at -4.294 eV/atom. As for the energy above the most stable polymorph in this dataset: 0.000 eV/atom. Its space-group type is I4/mmm, No. 139. The value obtained for the density of states at the Fermi level is 0.7 states/eV/f.u.

abc: 6.387 6.387 6.387
angles: 140.70 140.70 56.79
Fractional coordinates of all 5 atoms:
1 Na 0.198 0.198 0.000
2 Na 0.802 0.802 0.000
3 Cr 0.500 0.500 0.000
4 F 0.250 0.750 0.500
5 F 0.750 0.250 0.500